(1)
Compound: ReAg2
Source: Alexandria via LeMat-Bulk
Functional: PBE
Structure: optimized geometry

Summary:
Polymorph energy (0 for the lowest one)   43.2 kJ/mol of atoms
Final energy   -5.185 eV/atom

Lattice parameters (Å, degrees): 4.6985 4.6985 2.6148 90.00 90.00 120.00
Space group P6/mmm (No. 191)
Inequivalent atoms, fractional coordinates:
Re (0.0000, 0.0000, 0.0000) (multiplicity 1)
Ag (0.3333, 0.6667, 0.5000) (multiplicity 2)



(2)
Compound: SbPbSe2
Source: Alexandria via LeMat-Bulk
Functional: PBE
Structure: optimized geometry

Summary:
Raw formation energy   -0.11 eV/atom
Final energy   -3.811 eV/atom

Lattice parameters (Å, degrees): 3.737 3.737 8.820 90.00 90.00 90.00
Space group P4mm (No. 99)
Inequivalent atoms, fractional coordinates:
Sb (0.000, 0.000, 0.000) (multiplicity 1)
Pb (0.500, 0.500, 0.639) (multiplicity 1)
Se (0.000, 0.000, 0.490) (multiplicity 1)
Se (0.500, 0.500, 0.124) (multiplicity 1)



(3)
Compound: TbYIn4
Source: Alexandria via LeMat-Bulk
Functional: PBE
Structure: optimized geometry

Summary:
Final energy   -4.025 eV/atom

Lattice parameters (Å, degrees): 8.486 8.486 8.486 90.00 90.00 90.00
Space group F-43m (No. 216)
Inequivalent atoms, fractional coordinates:
Tb (0.000, 0.000, 0.000) (multiplicity 4)
Y (0.250, 0.250, 0.250) (multiplicity 4)
In (0.125, 0.125, 0.625) (multiplicity 16)



(4)
Compound: MgTi2Al
Source: Alexandria via LeMat-Bulk
Functional: PBE
Structure: optimized geometry

Summary:
Final energy   -5.369 eV/atom

Lattice parameters (Å, degrees): 4.103 4.103 4.147 90.00 90.00 90.00
Space group P4/mmm (No. 123)
Inequivalent atoms, fractional coordinates:
Mg (0.000, 0.000, 0.000) (multiplicity 1)
Ti (0.000, 0.500, 0.500) (multiplicity 2)
Al (0.500, 0.500, 0.000) (multiplicity 1)



(5)
Compound: La4PrAu
Source: Alexandria via LeMat-Bulk
Functional: PBE
Structure: optimized geometry

Summary:
Polymorph energy (0 for the lowest one)   7.3 kJ/mol of atoms
Final energy   -4.804 eV/atom

Lattice parameters (Å, degrees): 5.599 21.980 6.616 90.00 90.00 90.00
Space group Cmc2_1 (No. 36)
Inequivalent atoms, fractional coordinates:
La (0.000, 0.024, 0.000) (multiplicity 4)
La (0.000, 0.159, 0.795) (multiplicity 4)
La (0.000, 0.252, 0.212) (multiplicity 4)
La (0.000, 0.436, 0.140) (multiplicity 4)
Pr (0.000, 0.367, 0.647) (multiplicity 4)
Au (0.000, 0.116, 0.356) (multiplicity 4)



(6)
Compound: TlCuSe2
Source: Alexandria via LeMat-Bulk
Functional: PBE
Structure: optimized geometry

Summary:
Raw formation energy   -0.13 eV/atom
Final energy   -3.483 eV/atom

Lattice parameters (Å, degrees): 7.051 4.131 12.808 90.00 90.00 90.00
Space group Pnma (No. 62)
Inequivalent atoms, fractional coordinates:
Tl (0.107, 0.250, 0.131) (multiplicity 4)
Cu (0.074, 0.750, 0.387) (multiplicity 4)
Se (0.153, 0.250, 0.770) (multiplicity 4)
Se (0.184, 0.250, 0.484) (multiplicity 4)



(7)
Compound: ThMoBr
Source: Alexandria via LeMat-Bulk
Functional: PBE
Structure: optimized geometry

Summary:
Raw formation energy   -0.66 eV/atom
Final energy   -7.305 eV/atom

Lattice parameters (Å, degrees): 7.326 4.229 12.046 90.00 101.78 90.00
Space group C2/m (No. 12)
Inequivalent atoms, fractional coordinates:
Th (0.060, 0.000, 0.179) (multiplicity 4)
Mo (0.158, 0.500, 0.974) (multiplicity 4)
Br (0.216, 0.000, 0.652) (multiplicity 4)



(8)
Compound: NaBIr
Source: Alexandria via LeMat-Bulk
Functional: PBE
Structure: optimized geometry

Summary:
Final energy   -5.635 eV/atom

Lattice parameters (Å, degrees): 2.928 2.928 10.705 90.00 90.00 90.00
Space group I4mm (No. 107)
Inequivalent atoms, fractional coordinates:
Na (0.000, 0.000, 0.000) (multiplicity 2)
B (0.000, 0.000, 0.732) (multiplicity 2)
Ir (0.000, 0.000, 0.276) (multiplicity 2)



(9)
Compound: MnIn2Ir
Source: Alexandria via LeMat-Bulk
Functional: PBE
Structure: optimized geometry

Summary:
Final energy   -5.704 eV/atom

Lattice parameters (Å, degrees): 2.903 2.903 8.451 90.00 90.00 90.00
Space group P4mm (No. 99)
Inequivalent atoms, fractional coordinates:
Mn (0.000, 0.000, 0.000) (multiplicity 1)
In (0.000, 0.000, 0.574) (multiplicity 1)
In (0.500, 0.500, 0.229) (multiplicity 1)
Ir (0.500, 0.500, 0.826) (multiplicity 1)



(10)
Compound: PmY9Th2
Source: Alexandria via LeMat-Bulk
Functional: PBE
Structure: optimized geometry

Summary:
Final energy   -6.444 eV/atom

Lattice parameters (Å, degrees): 5.059 5.059 15.208 90.00 90.00 90.00
Space group P4/mmm (No. 123)
Inequivalent atoms, fractional coordinates:
Pm (0.000, 0.000, 0.000) (multiplicity 1)
Y (0.000, 0.500, 0.170) (multiplicity 4)
Y (0.000, 0.500, 0.500) (multiplicity 2)
Y (0.500, 0.500, 0.000) (multiplicity 1)
Y (0.500, 0.500, 0.334) (multiplicity 2)
Th (0.000, 0.000, 0.334) (multiplicity 2)



(11)
Compound: CaNd2S4
Source: Alexandria via LeMat-Bulk
Functional: PBE
Structure: optimized geometry

Summary:
Raw formation energy   -2.08 eV/atom
Polymorph energy (0 for the lowest one)   0.0 kJ/mol of atoms
Final energy   -6.085 eV/atom

Lattice parameters (Å, degrees): 8.561 8.561 8.624 90.00 90.00 90.00
Space group I-42d (No. 122)
Inequivalent atoms, fractional coordinates:
Ca (0.000, 0.000, 0.000) (multiplicity 4)
Nd (0.129, 0.750, 0.625) (multiplicity 8)
S (0.074, 0.679, 0.945) (multiplicity 16)



(12)
Compound: Hf5CdTc4
Source: Alexandria via LeMat-Bulk
Functional: PBE
Structure: optimized geometry

Summary:
Final energy   -9.637 eV/atom

Lattice parameters (Å, degrees): 3.291 3.291 16.941 90.00 90.00 90.00
Space group P4/mmm (No. 123)
Inequivalent atoms, fractional coordinates:
Hf (0.000, 0.000, 0.000) (multiplicity 1)
Hf (0.000, 0.000, 0.191) (multiplicity 2)
Hf (0.000, 0.000, 0.377) (multiplicity 2)
Cd (0.500, 0.500, 0.500) (multiplicity 1)
Tc (0.500, 0.500, 0.096) (multiplicity 2)
Tc (0.500, 0.500, 0.292) (multiplicity 2)



(13)
Compound: SrAg5Cl8
Source: Alexandria via LeMat-Bulk
Functional: PBE
Structure: optimized geometry

Summary:
Raw formation energy   -0.82 eV/atom
Final energy   -3.013 eV/atom

Lattice parameters (Å, degrees): 9.720 9.720 7.668 90.00 90.00 90.00
Space group I-4 (No. 82)
Inequivalent atoms, fractional coordinates:
Sr (0.000, 0.000, 0.000) (multiplicity 2)
Ag (0.000, 0.500, 0.250) (multiplicity 2)
Ag (0.222, 0.775, 0.591) (multiplicity 8)
Cl (0.051, 0.763, 0.323) (multiplicity 8)
Cl (0.076, 0.733, 0.865) (multiplicity 8)



(14)
Compound: LaCdSnI2
Source: Alexandria via LeMat-Bulk
Functional: PBE
Structure: optimized geometry

Summary:
Raw formation energy   -0.04 eV/atom
Final energy   -2.628 eV/atom

Lattice parameters (Å, degrees): 5.615 5.615 5.641 90.00 90.00 90.00
Space group P4/mmm (No. 123)
Inequivalent atoms, fractional coordinates:
La (0.000, 0.000, 0.000) (multiplicity 1)
Cd (0.500, 0.500, 0.500) (multiplicity 1)
Sn (0.500, 0.500, 0.000) (multiplicity 1)
I (0.000, 0.500, 0.500) (multiplicity 2)



(15)
Compound: SbS2NCl
Source: Alexandria via LeMat-Bulk
Functional: PBE
Structure: optimized geometry

Summary:
Raw formation energy   1.12 eV/atom
Polymorph energy (0 for the lowest one)   24.4 kJ/mol of atoms
Final energy   -3.392 eV/atom

Lattice parameters (Å, degrees): 5.195 5.195 4.001 90.00 90.00 90.00
Space group P4/mmm (No. 123)
Inequivalent atoms, fractional coordinates:
Sb (0.000, 0.000, 0.000) (multiplicity 1)
S (0.000, 0.500, 0.000) (multiplicity 2)
N (0.000, 0.000, 0.500) (multiplicity 1)
Cl (0.500, 0.500, 0.500) (multiplicity 1)



(16)
Compound: TmAu2
Source: Alexandria via LeMat-Bulk
Functional: PBE
Structure: optimized geometry

Summary:
Final energy   -4.559 eV/atom

Lattice parameters (Å, degrees): 3.698 3.698 9.023 90.00 90.00 90.00
Space group I4/mmm (No. 139)
Inequivalent atoms, fractional coordinates:
Tm (0.000, 0.000, 0.000) (multiplicity 2)
Au (0.000, 0.000, 0.336) (multiplicity 4)



(17)
Compound: Sr2CaCl
Source: Alexandria via LeMat-Bulk
Functional: PBE
Structure: optimized geometry

Summary:
Raw formation energy   -0.65 eV/atom
Polymorph energy (0 for the lowest one)   15.6 kJ/mol of atoms
Final energy   -2.457 eV/atom

Lattice parameters (Å, degrees): 9.433 9.433 8.184 90.00 90.00 90.00
Space group I-42d (No. 122)
Inequivalent atoms, fractional coordinates:
Sr (0.158, 0.250, 0.125) (multiplicity 8)
Ca (0.000, 0.000, 0.500) (multiplicity 4)
Cl (0.000, 0.000, 0.000) (multiplicity 4)



(18)
Compound: SrSi
Source: Alexandria via LeMat-Bulk
Functional: PBE
Structure: optimized geometry

Summary:
Raw formation energy   0.47 eV/atom
Final energy   -3.087 eV/atom

Lattice parameters (Å, degrees): 5.4980 5.4980 6.4251 90.00 90.00 120.00
Space group P6_3/mmc (No. 194)
Inequivalent atoms, fractional coordinates:
Sr (0.3333, 0.6667, 0.2500) (multiplicity 2)
Si (0.3333, 0.6667, 0.7500) (multiplicity 2)



(19)
Compound: Ag3SnI2F6
Source: Alexandria via LeMat-Bulk
Functional: PBE
Structure: optimized geometry

Summary:
Raw formation energy   -1.42 eV/atom
Final energy   -3.662 eV/atom

Lattice parameters (Å, degrees): 13.903 6.741 5.295 90.00 90.74 90.00
Space group C2/m (No. 12)
Inequivalent atoms, fractional coordinates:
Ag (0.000, 0.000, 0.000) (multiplicity 2)
Ag (0.250, 0.250, 0.500) (multiplicity 4)
Sn (0.000, 0.500, 0.500) (multiplicity 2)
I (0.196, 0.000, 0.117) (multiplicity 4)
F (0.056, 0.285, 0.722) (multiplicity 8)
F (0.127, 0.500, 0.317) (multiplicity 4)



(20)
Compound: SmYBi
Source: Alexandria via LeMat-Bulk
Functional: PBE
Structure: optimized geometry

Summary:
Final energy   -5.520 eV/atom

Lattice parameters (Å, degrees): 11.514 4.112 8.214 90.00 110.78 90.00
Space group C2/m (No. 12)
Inequivalent atoms, fractional coordinates:
Sm (0.156, 0.000, 0.077) (multiplicity 4)
Y (0.158, 0.000, 0.579) (multiplicity 4)
Bi (0.000, 0.500, 0.255) (multiplicity 4)